The following is a DFT calculation (PBE-GGA) of a relaxed structure of Na2CaPbF.

Cell lengths 4.578, 4.578, 6.726 Å; angles 90.00, 90.00, 90.00 degrees
Sites, in units of the cell vectors:
Na 0.000 0.500 0.000
Na 0.500 0.000 0.000
Ca 0.000 0.000 0.500
Pb 0.500 0.500 0.500
F 0.500 0.500 0.000

Values from the calculation:
* energy relative to the elements, uncorrected: -0.958 eV per atom
* energy relative to the lowest polymorph listed for this composition: 319 meV/atom